[1]
# CaCdInI5 GGA-PBE relaxed
data_CaCdInI5
_chemical_formula_sum 'Ca4 Cd4 In4 I20'
_cell_length_a 10.3372
_cell_length_b 13.5295
_cell_length_c 11.3604
_cell_angle_alpha 90.00
_cell_angle_beta 113.86
_cell_angle_gamma 90.00
_space_group_name_H-M_alt 'C 1 2/c 1'
_space_group_IT_number 15
_space_group_name_Hall '-C 2yc'
loop_
_atom_site_label
_atom_site_type_symbol
_atom_site_fract_x
_atom_site_fract_y
_atom_site_fract_z
Ca1 Ca 0.0000 0.0000 0.0000
Cd1 Cd 0.0000 0.3209 0.2500
In1 In 0.0000 0.3417 0.7500
I1 I 0.0000 0.0895 0.7500
I2 I 0.1313 0.2086 0.1188
I3 I 0.1822 0.4449 0.4499
# Crystal system: monoclinic
# N(E_F), states/eV per cell: 0.000
# Total DFT energy (no corrections), eV/atom: -2.5878


[2]
# CaCdIn2I6 GGA-PBE relaxed
data_CaCdIn2I6
_chemical_formula_sum 'Ca3 Cd3 In6 I18'
_cell_length_a 8.3676
_cell_length_b 8.3676
_cell_length_c 21.0997
_cell_angle_alpha 90.00
_cell_angle_beta 90.00
_cell_angle_gamma 120.00
_space_group_name_H-M_alt 'R 3'
_space_group_IT_number 146
_space_group_name_Hall 'R 3'
loop_
_atom_site_label
_atom_site_type_symbol
_atom_site_fract_x
_atom_site_fract_y
_atom_site_fract_z
Ca1 Ca 0.0000 0.0000 0.0000
Cd1 Cd 0.0000 0.0000 0.5009
In1 In 0.0000 0.0000 0.2955
In2 In 0.0000 0.0000 0.7943
I1 I 0.0691 0.3354 0.5751
I2 I 0.0755 0.7263 0.0778
# Crystal system: trigonal
# N(E_F), states/eV per cell: 0.000
# Total DFT energy (no corrections), eV/atom: -2.5579


[3]
# CaLaCdI2 GGA-PBE relaxed
data_CaLaCdI2
_chemical_formula_sum 'Ca1 La1 Cd1 I2'
_cell_length_a 6.1823
_cell_length_b 6.1823
_cell_length_c 6.4636
_cell_angle_alpha 90.00
_cell_angle_beta 90.00
_cell_angle_gamma 90.00
_space_group_name_H-M_alt 'P 4/m m m'
_space_group_IT_number 123
_space_group_name_Hall '-P 4 2'
loop_
_atom_site_label
_atom_site_type_symbol
_atom_site_fract_x
_atom_site_fract_y
_atom_site_fract_z
Ca1 Ca 0.0000 0.0000 0.0000
La1 La 0.5000 0.5000 0.5000
Cd1 Cd 0.5000 0.5000 0.0000
I1 I 0.0000 0.5000 0.5000
# Crystal system: tetragonal
# N(E_F), states/eV per cell: 3.669
# Total DFT energy (no corrections), eV/atom: -2.5886


[4]
# CaMgCd2I GGA-PBE relaxed
data_CaMgCd2I
_chemical_formula_sum 'Ca1 Mg1 Cd2 I1'
_cell_length_a 6.5244
_cell_length_b 6.5244
_cell_length_c 5.7198
_cell_angle_alpha 90.00
_cell_angle_beta 90.00
_cell_angle_gamma 90.00
_space_group_name_H-M_alt 'P 4/m m m'
_space_group_IT_number 123
_space_group_name_Hall '-P 4 2'
loop_
_atom_site_label
_atom_site_type_symbol
_atom_site_fract_x
_atom_site_fract_y
_atom_site_fract_z
Ca1 Ca 0.0000 0.0000 0.0000
Mg1 Mg 0.5000 0.5000 0.0000
Cd1 Cd 0.0000 0.5000 0.5000
I1 I 0.0000 0.0000 0.5000
# Crystal system: tetragonal
# N(E_F), states/eV per cell: 2.539
# Total DFT energy (no corrections), eV/atom: -1.0812


[5]
# Na2CaCdI6 GGA-PBE relaxed
data_Na2CaCdI6
_chemical_formula_sum 'Na2 Ca1 Cd1 I6'
_cell_length_a 8.3142
_cell_length_b 8.3142
_cell_length_c 6.9082
_cell_angle_alpha 90.00
_cell_angle_beta 90.00
_cell_angle_gamma 90.00
_space_group_name_H-M_alt 'P 4 m m'
_space_group_IT_number 99
_space_group_name_Hall 'P 4 -2'
loop_
_atom_site_label
_atom_site_type_symbol
_atom_site_fract_x
_atom_site_fract_y
_atom_site_fract_z
Na1 Na 0.0000 0.5000 0.0000
Ca1 Ca 0.0000 0.0000 0.6811
Cd1 Cd 0.5000 0.5000 0.6582
I1 I 0.0000 0.0000 0.2502
I2 I 0.2566 0.2566 0.8088
I3 I 0.5000 0.5000 0.2649
# Crystal system: tetragonal
# N(E_F), states/eV per cell: 0.000
# Total DFT energy (no corrections), eV/atom: -2.5203


[6]
# Ca2CdNiI GGA-PBE relaxed
data_Ca2CdNiI
_chemical_formula_sum 'Ca2 Cd1 Ni1 I1'
_cell_length_a 5.7804
_cell_length_b 5.7804
_cell_length_c 5.7572
_cell_angle_alpha 90.00
_cell_angle_beta 90.00
_cell_angle_gamma 90.00
_space_group_name_H-M_alt 'P 4/m m m'
_space_group_IT_number 123
_space_group_name_Hall '-P 4 2'
loop_
_atom_site_label
_atom_site_type_symbol
_atom_site_fract_x
_atom_site_fract_y
_atom_site_fract_z
Ca1 Ca 0.0000 0.5000 0.0000
Cd1 Cd 0.0000 0.0000 0.5000
Ni1 Ni 0.5000 0.5000 0.5000
I1 I 0.0000 0.0000 0.0000
# Crystal system: tetragonal
# N(E_F), states/eV per cell: 5.897
# Total DFT energy (no corrections), eV/atom: -1.8079


[7]
# Rb2CaCdI6 GGA-PBE relaxed
data_Rb2CaCdI6
_chemical_formula_sum 'Rb6 Ca3 Cd3 I18'
_cell_length_a 8.6226
_cell_length_b 8.6226
_cell_length_c 20.5808
_cell_angle_alpha 90.00
_cell_angle_beta 90.00
_cell_angle_gamma 120.00
_space_group_name_H-M_alt 'R 3'
_space_group_IT_number 146
_space_group_name_Hall 'R 3'
loop_
_atom_site_label
_atom_site_type_symbol
_atom_site_fract_x
_atom_site_fract_y
_atom_site_fract_z
Rb1 Rb 0.0000 0.0000 0.0000
Rb2 Rb 0.0000 0.0000 0.4970
Ca1 Ca 0.0000 0.0000 0.7618
Cd1 Cd 0.0000 0.0000 0.2616
I1 I 0.0105 0.5795 0.0135
I2 I 0.0946 0.3382 0.8484
# Crystal system: trigonal
# N(E_F), states/eV per cell: 0.000
# Total DFT energy (no corrections), eV/atom: -2.6360


[8]
# CaCdRe2I GGA-PBE relaxed
data_CaCdRe2I
_chemical_formula_sum 'Ca1 Cd1 Re2 I1'
_cell_length_a 4.9064
_cell_length_b 4.9064
_cell_length_c 5.6174
_cell_angle_alpha 90.00
_cell_angle_beta 90.00
_cell_angle_gamma 90.00
_space_group_name_H-M_alt 'P 4/m m m'
_space_group_IT_number 123
_space_group_name_Hall '-P 4 2'
loop_
_atom_site_label
_atom_site_type_symbol
_atom_site_fract_x
_atom_site_fract_y
_atom_site_fract_z
Ca1 Ca 0.0000 0.0000 0.0000
Cd1 Cd 0.5000 0.5000 0.0000
Re1 Re 0.0000 0.5000 0.5000
I1 I 0.5000 0.5000 0.5000
# Crystal system: tetragonal
# N(E_F), states/eV per cell: 4.052
# Total DFT energy (no corrections), eV/atom: -3.9934


[9]
# CaCdRu2I GGA-PBE relaxed
data_CaCdRu2I
_chemical_formula_sum 'Ca1 Cd1 Ru2 I1'
_cell_length_a 5.0441
_cell_length_b 5.0441
_cell_length_c 5.7490
_cell_angle_alpha 90.00
_cell_angle_beta 90.00
_cell_angle_gamma 90.00
_space_group_name_H-M_alt 'P 4/m m m'
_space_group_IT_number 123
_space_group_name_Hall '-P 4 2'
loop_
_atom_site_label
_atom_site_type_symbol
_atom_site_fract_x
_atom_site_fract_y
_atom_site_fract_z
Ca1 Ca 0.0000 0.0000 0.0000
Cd1 Cd 0.5000 0.5000 0.5000
Ru1 Ru 0.0000 0.5000 0.0000
I1 I 0.0000 0.0000 0.5000
# Crystal system: tetragonal
# N(E_F), states/eV per cell: 6.402
# Total DFT energy (no corrections), eV/atom: -3.0441


[10]
# CaCdSI2 GGA-PBE relaxed
data_CaCdSI2
_chemical_formula_sum 'Ca1 Cd1 S1 I2'
_cell_length_a 5.5332
_cell_length_b 5.5332
_cell_length_c 6.8199
_cell_angle_alpha 90.00
_cell_angle_beta 90.00
_cell_angle_gamma 90.00
_space_group_name_H-M_alt 'P 4/m m m'
_space_group_IT_number 123
_space_group_name_Hall '-P 4 2'
loop_
_atom_site_label
_atom_site_type_symbol
_atom_site_fract_x
_atom_site_fract_y
_atom_site_fract_z
Ca1 Ca 0.0000 0.0000 0.0000
Cd1 Cd 0.0000 0.0000 0.5000
S1 S 0.5000 0.5000 0.0000
I1 I 0.0000 0.5000 0.5000
# Crystal system: tetragonal
# N(E_F), states/eV per cell: 4.055
# Total DFT energy (no corrections), eV/atom: -1.9869


[11]
# CaCdSbI2 GGA-PBE relaxed
data_CaCdSbI2
_chemical_formula_sum 'Ca1 Cd1 Sb1 I2'
_cell_length_a 5.9858
_cell_length_b 5.9858
_cell_length_c 6.4714
_cell_angle_alpha 90.00
_cell_angle_beta 90.00
_cell_angle_gamma 90.00
_space_group_name_H-M_alt 'P 4/m m m'
_space_group_IT_number 123
_space_group_name_Hall '-P 4 2'
loop_
_atom_site_label
_atom_site_type_symbol
_atom_site_fract_x
_atom_site_fract_y
_atom_site_fract_z
Ca1 Ca 0.0000 0.0000 0.0000
Cd1 Cd 0.5000 0.5000 0.5000
Sb1 Sb 0.0000 0.0000 0.5000
I1 I 0.0000 0.5000 0.0000
# Crystal system: tetragonal
# Offset from the most stable computed form, meV per atom: 0
# N(E_F), states/eV per cell: 2.727


[12]
# CaCdSb2I GGA-PBE relaxed
data_CaCdSb2I
_chemical_formula_sum 'Ca1 Cd1 Sb2 I1'
_cell_length_a 5.9953
_cell_length_b 5.9953
_cell_length_c 5.8986
_cell_angle_alpha 90.00
_cell_angle_beta 90.00
_cell_angle_gamma 90.00
_space_group_name_H-M_alt 'P 4/m m m'
_space_group_IT_number 123
_space_group_name_Hall '-P 4 2'
loop_
_atom_site_label
_atom_site_type_symbol
_atom_site_fract_x
_atom_site_fract_y
_atom_site_fract_z
Ca1 Ca 0.0000 0.0000 0.0000
Cd1 Cd 0.5000 0.5000 0.5000
Sb1 Sb 0.0000 0.5000 0.0000
I1 I 0.0000 0.0000 0.5000
# Crystal system: tetragonal
# Offset from the most stable computed form, meV per atom: 202
# N(E_F), states/eV per cell: 5.656


[13]
# CaCdSbI2 GGA-PBE relaxed
data_CaCdSbI2
_chemical_formula_sum 'Ca1 Cd1 Sb1 I2'
_cell_length_a 5.5151
_cell_length_b 5.5151
_cell_length_c 8.4931
_cell_angle_alpha 90.00
_cell_angle_beta 90.00
_cell_angle_gamma 90.00
_space_group_name_H-M_alt 'P 4/m m m'
_space_group_IT_number 123
_space_group_name_Hall '-P 4 2'
loop_
_atom_site_label
_atom_site_type_symbol
_atom_site_fract_x
_atom_site_fract_y
_atom_site_fract_z
Ca1 Ca 0.0000 0.0000 0.0000
Cd1 Cd 0.0000 0.0000 0.5000
Sb1 Sb 0.5000 0.5000 0.0000
I1 I 0.0000 0.5000 0.5000
# Crystal system: tetragonal
# Offset from the most stable computed form, meV per atom: 372
# N(E_F), states/eV per cell: 2.107


Volume values, unit Å³ per atom, following the record order: 45.4; 42.6; 49.4; 48.7; 47.8; 38.5; 44.2; 27.0; 29.3; 41.8; 46.4; 42.4; 51.7.